A relaxed structure of KNaTlF3. Source: Alexandria, functional GGA-PBE.

Cell and atoms, written as CIF:
```
data_KNaTlF3
_symmetry_space_group_name_H-M 'P 1'
_symmetry_Int_Tables_number 1
_symmetry_space_group_name_Hall 'P 1'
_cell_length_a 3.9502
_cell_length_b 7.9973
_cell_length_c 8.9793
_cell_angle_alpha 99.34
_cell_angle_beta 90.00
_cell_angle_gamma 90.00
loop_
_atom_site_label
_atom_site_fract_x
_atom_site_fract_y
_atom_site_fract_z
Na1 0.7500 0.9429 0.3737
F1 0.2500 0.1369 0.8775
F2 0.2500 0.6061 0.8689
K1 0.7500 0.3615 0.8310
F3 0.7500 0.1508 0.5729
F4 0.7500 0.8631 0.1225
F5 0.7500 0.3939 0.1311
K2 0.2500 0.6385 0.1690
Tl1 0.7500 0.8180 0.8460
Na2 0.2500 0.0571 0.6263
Tl2 0.2500 0.1820 0.1540
F6 0.2500 0.8492 0.4271
```

uncorrected formation energy: -2.333 eV/atom
spin magnetization: 0.0 μB per cell
DOS at the Fermi energy: 0.00 states/eV/f.u.
crystal system: monoclinic